Arrangement i

Crystalline Ce2Si3Os2 at its relaxed geometry. Source: Alexandria via LeMat-Bulk, functional GGA-PBE.

density of states at the Fermi level = 19.4 states/eV per cell

abc: 10.375 4.074 6.895
angles: 90.00 117.25 90.00
Space group C2/m (No. 12)
Inequivalent atoms, fractional coordinates:
Ce  0.142  0.000  0.261 x4
Si  0.000  0.500  0.500 x2
Si  0.141  0.500  0.932 x4
Os  0.131  0.000  0.713 x4

=====

Arrangement ii

Crystalline Ce2Si3Os2 at its relaxed geometry. Source: Alexandria via LeMat-Bulk, functional GGA-PBE.

density of states at the Fermi level = 29.3 states/eV per cell

abc: 4.199 17.865 6.817
angles: 90.00 90.00 90.00
Space group Cmcm (No. 63)
Inequivalent atoms, fractional coordinates:
Ce  0.000  0.053  0.250 x4
Ce  0.000  0.156  0.750 x4
Si  0.000  0.221  0.250 x4
Si  0.000  0.438  0.067 x8
Os  0.000  0.308  0.551 x8

=====

Of them, arrangement i has the lowest stability.

=====

Arrangement i

Crystalline CeSi2Os4 at its relaxed geometry. Source: Alexandria via LeMat-Bulk, functional GGA-PBE.

density of states at the Fermi level = 12.1 states/eV per cell

abc: 7.587 7.587 3.904
angles: 90.00 90.00 90.00
Space group P4_2/mnm (No. 136)
Inequivalent atoms, fractional coordinates:
Ce  0.000  0.000  0.000 x2
Si  0.219  0.219  0.500 x4
Os  0.080  0.659  0.500 x8

=====

Arrangement ii

Crystalline CeSi2Os4 at its relaxed geometry. Source: Alexandria via LeMat-Bulk, functional GGA-PBE.

density of states at the Fermi level = 14.6 states/eV per cell

abc: 4.015 14.156 3.992
angles: 90.00 90.00 90.00
Space group Cmmm (No. 65)
Inequivalent atoms, fractional coordinates:
Ce  0.000  0.000  0.000 x2
Si  0.000  0.415  0.500 x4
Os  0.000  0.186  0.500 x4
Os  0.000  0.311  0.000 x4

=====

Of them, arrangement i has the lowest stability.

=====

Arrangement i

Crystalline Ce2Si4Os3 at its relaxed geometry. Source: Alexandria via LeMat-Bulk, functional GGA-PBE.

density of states at the Fermi level = 29.2 states/eV per cell

abc: 5.815 14.649 7.111
angles: 90.00 90.00 90.00
Space group Cmce (No. 64)
Inequivalent atoms, fractional coordinates:
Ce  0.000  0.106  0.094 x8
Si  0.000  0.179  0.484 x8
Si  0.250  0.063  0.750 x8
Os  0.000  0.000  0.500 x4
Os  0.250  0.231  0.750 x8

=====

Arrangement ii

Crystalline Ce2Si4Os3 at its relaxed geometry. Source: Alexandria via LeMat-Bulk, functional GGA-PBE.

density of states at the Fermi level = 34.6 states/eV per cell

abc: 5.585 9.792 11.733
angles: 90.00 90.00 90.00
Space group Fmmm (No. 69)
Inequivalent atoms, fractional coordinates:
Ce  0.000  0.000  0.129 x8
Si  0.000  0.178  0.342 x16
Os  0.000  0.000  0.500 x4
Os  0.250  0.250  0.000 x8

=====

Of them, arrangement ii has the lowest stability.

=====

Arrangement i

Crystalline Ce3SiOs2 at its relaxed geometry. Source: Alexandria via LeMat-Bulk, functional GGA-PBE.

density of states at the Fermi level = 10.4 states/eV per cell

abc: 5.255 15.656 3.104
angles: 90.00 90.00 90.00
Space group Pmmn (No. 59, origin choice 2)
Inequivalent atoms, fractional coordinates:
Ce  0.250  0.078  0.172 x4
Ce  0.250  0.750  0.823 x2
Si  0.250  0.250  0.678 x2
Os  0.250  0.587  0.545 x4

=====

Arrangement ii

Crystalline Ce3SiOs2 at its relaxed geometry. Source: Alexandria via LeMat-Bulk, functional GGA-PBE.

density of states at the Fermi level = 12.7 states/eV per cell

abc: 4.105 4.403 14.241
angles: 90.00 90.00 90.00
Space group Immm (No. 71)
Inequivalent atoms, fractional coordinates:
Ce  0.000  0.000  0.000 x2
Ce  0.000  0.500  0.178 x4
Si  0.000  0.000  0.500 x2
Os  0.000  0.500  0.366 x4

=====

Of them, arrangement i has the lowest stability.